<P>
The following is a PBE calculation of a relaxed Cr2FeSe crystal, from the Alexandria database.

Geometry as POSCAR:
```
Cr2FeSe
1.0
4.1387 0.0000 0.0000
0.0000 4.1387 0.0000
0.0000 0.0000 2.9255
Cr Fe Se
2 1 1
Direct
0.0000 0.0000 0.0000 Cr
0.5000 0.5000 0.0000 Cr
0.5000 0.0000 0.5000 Fe
0.0000 0.5000 0.5000 Se
```

Properties
- Crystal system: tetragonal

=====

<Q>
The following is a PBE calculation of a relaxed Cr2FeSe crystal, from the Alexandria database.

Geometry as POSCAR:
```
Cr2FeSe
1.0
-3.1534 -1.7882 -3.1252
-3.0094 -3.2487 1.8159
1.4459 4.5099 0.6918
Cr Fe Se
2 1 1
Direct
0.0020 0.0020 0.0000 Cr
0.7481 0.2481 0.5000 Cr
0.4935 0.4935 0.0000 Fe
0.2563 0.7563 0.5000 Se
```

Properties
- Crystal system: orthorhombic

=====

<R>
The following is a PBE calculation of a relaxed Cr2FeSe crystal, from the Alexandria database.

Geometry as POSCAR:
```
Cr2FeSe
1.0
2.7023 0.0041 0.0000
-0.9910 2.5140 0.0000
0.0000 0.0000 7.9483
Cr Fe Se
2 1 1
Direct
0.0000 0.0000 0.0234 Cr
0.5000 0.5000 0.2403 Cr
0.0000 0.0000 0.4809 Fe
0.5000 0.5000 0.7553 Se
```

Properties
- Crystal system: orthorhombic

=====

The structure with the greatest stability is <Q>.